Entry 1:
This record from Alexandria describes Na3B20 after structural relaxation. The functional is PBE-GGA.

Output
Fermi-level density of states   2.08 states/eV/cell
Magnetic moment   0.0 μB per formula unit
Formation energy from the elements   -6.04 kJ/mol of atoms

POSCAR file:
```
Na3B20
1.0
9.7592 0.0120 0.0000
-8.0981 5.4464 0.0000
0.0000 0.0000 4.1382
Na B
3 20
direct
0.3635 0.6365 0.0000
0.6365 0.3635 0.0000
0.0000 0.0000 0.0000
0.7438 0.2562 0.5000
0.2562 0.7438 0.5000
0.4312 0.0264 0.5000
0.1740 0.8260 0.2080
0.8260 0.1740 0.2080
0.8260 0.1740 0.7920
0.1740 0.8260 0.7920
0.5000 0.5000 0.2008
0.5000 0.5000 0.7992
0.7030 0.6092 0.5000
0.2970 0.3908 0.5000
0.6092 0.7030 0.5000
0.3908 0.2970 0.5000
0.9655 0.7348 0.5000
0.0345 0.2652 0.5000
0.7348 0.9655 0.5000
0.2652 0.0345 0.5000
0.9736 0.5688 0.5000
0.0264 0.4312 0.5000
0.5688 0.9736 0.5000
```

Entry 2:
This record from Alexandria describes NaB after structural relaxation. The functional is PBE-GGA.

Output
Fermi-level density of states   8.70 states/eV/cell
Magnetic moment   0.0 μB per formula unit
Formation energy from the elements   218.18 kJ/mol of atoms

POSCAR file:
```
NaB
1.0
7.3444 0.0000 0.0000
0.0000 7.3444 0.0000
0.0000 0.0000 7.3444
Na B
6 6
direct
0.2500 0.0000 0.5000
0.7500 0.0000 0.5000
0.0000 0.5000 0.2500
0.0000 0.5000 0.7500
0.5000 0.2500 0.0000
0.5000 0.7500 0.0000
0.2500 0.5000 0.0000
0.7500 0.5000 0.0000
0.5000 0.0000 0.2500
0.5000 0.0000 0.7500
0.0000 0.2500 0.5000
0.0000 0.7500 0.5000
```

Entry 3:
This record from Alexandria describes NaB after structural relaxation. The functional is PBE-GGA.

Output
Fermi-level density of states   3.25 states/eV/cell
Magnetic moment   0.0 μB per formula unit
Formation energy from the elements   106.68 kJ/mol of atoms

POSCAR file:
```
NaB
1.0
-2.7298 -4.9085 0.6299
3.9411 -1.7212 3.6670
-2.7489 2.0302 3.9074
Na B
4 4
direct
0.1819 0.1819 0.0000
0.6818 0.3182 0.5000
0.3182 0.6818 0.5000
0.8182 0.8182 0.0000
0.4025 0.5975 0.0000
0.9025 0.9025 0.5000
0.0975 0.0975 0.5000
0.5975 0.4025 0.0000
```

Entry 4:
This record from Alexandria describes NaB after structural relaxation. The functional is PBE-GGA.

Output
Fermi-level density of states   2.65 states/eV/cell
Magnetic moment   0.0 μB per formula unit
Formation energy from the elements   17.03 kJ/mol of atoms

POSCAR file:
```
NaB
1.0
7.1895 0.0000 0.0000
0.0000 7.1895 0.0000
0.0000 0.0000 3.1663
Na B
4 4
direct
0.2423 0.2423 0.5000
0.7423 0.2577 0.0000
0.2577 0.7423 0.0000
0.7577 0.7577 0.5000
0.0000 0.5000 0.7361
0.5000 0.0000 0.7639
0.5000 0.0000 0.2639
0.0000 0.5000 0.2361
```

Entry 5:
This record from Alexandria describes NaB after structural relaxation. The functional is PBE-GGA.

Output
Fermi-level density of states   2.53 states/eV/cell
Magnetic moment   0.0 μB per formula unit
Formation energy from the elements   35.92 kJ/mol of atoms

POSCAR file:
```
NaB
1.0
5.9129 0.0000 0.0000
0.0000 10.9108 0.0000
0.0000 0.0000 3.0251
Na B
6 6
direct
0.2500 0.2500 0.0000
0.2500 0.7500 0.0000
0.7500 0.2500 0.0000
0.7500 0.7500 0.0000
0.5000 0.0000 0.5000
0.0000 0.5000 0.5000
0.0000 0.0756 0.5000
0.0000 0.9244 0.5000
0.5000 0.5756 0.5000
0.5000 0.4244 0.5000
0.0000 0.0000 0.0000
0.5000 0.5000 0.0000
```

Entry 6:
This record from Alexandria describes NaB after structural relaxation. The functional is PBE-GGA.

Output
Fermi-level density of states   13.21 states/eV/cell
Magnetic moment   1.0 μB per formula unit
Formation energy from the elements   86.34 kJ/mol of atoms

POSCAR file:
```
NaB
1.0
-0.8507 3.8732 -6.4117
-5.1559 -4.9838 -2.3266
-5.4340 4.1224 3.2113
Na B
8 8
direct
0.2826 0.2826 0.2826
0.2826 0.7174 0.7174
0.7174 0.2826 0.7174
0.7174 0.7174 0.2826
0.7826 0.7826 0.7826
0.7826 0.2174 0.2174
0.2174 0.7826 0.2174
0.2174 0.2174 0.7826
0.0814 0.0814 0.0814
0.0814 0.9186 0.9186
0.9186 0.0814 0.9186
0.9186 0.9186 0.0814
0.5814 0.5814 0.5814
0.5814 0.4186 0.4186
0.4186 0.5814 0.4186
0.4186 0.4186 0.5814
```

Entry 7:
This record from Alexandria describes NaB after structural relaxation. The functional is PBE-GGA.

Output
Fermi-level density of states   4.41 states/eV/cell
Magnetic moment   0.0 μB per formula unit
Formation energy from the elements   16.30 kJ/mol of atoms

POSCAR file:
```
NaB
1.0
-8.7951 -3.3377 3.6720
4.9599 -6.1460 6.2932
0.0484 2.2776 2.1862
Na B
8 8
direct
0.7543 0.5000 0.0000
0.2457 0.5000 0.0000
0.5000 0.2457 0.0000
0.5000 0.7543 0.0000
0.2543 0.0000 0.5000
0.7457 0.0000 0.5000
0.0000 0.7457 0.5000
0.0000 0.2543 0.5000
0.2442 0.2442 0.0000
0.2442 0.7558 0.0000
0.7558 0.2442 0.0000
0.7558 0.7558 0.0000
0.7442 0.7442 0.5000
0.7442 0.2558 0.5000
0.2558 0.7442 0.5000
0.2558 0.2558 0.5000
```

Entry 8:
This record from Alexandria describes NaB after structural relaxation. The functional is PBE-GGA.

Output
Fermi-level density of states   1.30 states/eV/cell
Magnetic moment   0.0 μB per formula unit
Formation energy from the elements   179.10 kJ/mol of atoms

POSCAR file:
```
NaB
1.0
3.7956 0.0000 0.0000
1.8978 3.2871 0.0000
1.8978 1.0957 3.0991
Na B
1 1
direct
0.0000 0.0000 0.0000
0.5000 0.5000 0.5000
```

Entry 9:
This record from Alexandria describes Na3NbB after structural relaxation. The functional is PBE-GGA.

Output
ΔE to the lowest computed polymorph   211.8 kJ/mol of formula units
Fermi-level density of states   5.51 states/eV/cell
Magnetic moment   4.4 μB per formula unit
Formation energy from the elements   208.71 kJ/mol of atoms

POSCAR file:
```
Na3NbB
1.0
-2.0474 -4.5090 -3.1220
5.4261 -1.1812 -1.8524
0.7969 -3.5416 4.5925
Na Nb B
3 1 1
direct
0.0000 0.5000 0.0000
0.0000 0.0000 0.5000
0.5000 0.0000 0.0000
0.0000 0.0000 0.0000
0.5000 0.5000 0.5000
```

Entry 10:
This record from Alexandria describes Na3NbB after structural relaxation. The functional is PBE-GGA.

Output
ΔE to the lowest computed polymorph   0.0 kJ/mol of formula units
Fermi-level density of states   16.68 states/eV/cell
Magnetic moment   0.0 μB per formula unit
Formation energy from the elements   166.34 kJ/mol of atoms

POSCAR file:
```
Na3NbB
1.0
-2.1657 -4.3494 0.7839
0.8884 -1.2836 -4.6674
4.3292 -1.9124 1.3499
Na Nb B
3 1 1
direct
0.0000 0.5000 0.0000
0.0000 0.0000 0.5000
0.5000 0.0000 0.0000
0.5000 0.5000 0.5000
0.0000 0.0000 0.0000
```

Entry 11:
This record from Alexandria describes Na2NbB after structural relaxation. The functional is PBE-GGA.

Output
Fermi-level density of states   7.18 states/eV/cell
Magnetic moment   1.8 μB per formula unit
Formation energy from the elements   109.28 kJ/mol of atoms

POSCAR file:
```
Na2NbB
1.0
-2.7188 -8.4461 3.0276
4.1568 -3.9893 -7.3961
2.5653 -6.4040 -1.0461
Na Nb B
4 2 2
direct
0.5046 0.1250 0.2500
0.2454 0.6250 0.2500
0.3750 0.4954 0.7500
0.8750 0.7546 0.7500
0.0000 0.0000 0.0000
0.7500 0.2500 0.5000
0.5000 0.5000 0.0000
0.2500 0.7500 0.5000
```

Entry 12:
This record from Alexandria describes NaNbB2 after structural relaxation. The functional is PBE-GGA.

Output
ΔE to the lowest computed polymorph   0.0 kJ/mol of formula units
Fermi-level density of states   2.78 states/eV/cell
Magnetic moment   0.0 μB per formula unit
Formation energy from the elements   95.90 kJ/mol of atoms

POSCAR file:
```
NaNbB2
1.0
0.0000 2.8959 2.8959
2.8959 0.0000 2.8959
2.8959 2.8959 0.0000
Na Nb B
1 1 2
direct
0.0000 0.0000 0.0000
0.5000 0.5000 0.5000
0.2500 0.2500 0.2500
0.7500 0.7500 0.7500
```

Entry 13:
This record from Alexandria describes NaNbB3 after structural relaxation. The functional is PBE-GGA.

Output
ΔE to the lowest computed polymorph   611.3 kJ/mol of formula units
Fermi-level density of states   2.87 states/eV/cell
Magnetic moment   0.0 μB per formula unit
Formation energy from the elements   235.12 kJ/mol of atoms

POSCAR file:
```
NaNbB3
1.0
3.9791 0.0000 0.0000
0.0000 3.9791 0.0000
0.0000 0.0000 3.9791
Na Nb B
1 1 3
direct
0.0000 0.0000 0.0000
0.5000 0.5000 0.5000
0.0000 0.5000 0.0000
0.0000 0.0000 0.5000
0.5000 0.0000 0.0000
```

Entry 14:
This record from Alexandria describes NaNbB3 after structural relaxation. The functional is PBE-GGA.

Output
ΔE to the lowest computed polymorph   0.0 kJ/mol of formula units
Fermi-level density of states   1.83 states/eV/cell
Magnetic moment   0.0 μB per formula unit
Formation energy from the elements   112.85 kJ/mol of atoms

POSCAR file:
```
NaNbB3
1.0
4.3490 0.0000 0.0000
0.0000 4.3490 0.0000
0.0000 0.0000 4.3490
Na Nb B
1 1 3
direct
0.5000 0.5000 0.5000
0.0000 0.0000 0.0000
0.0000 0.5000 0.0000
0.0000 0.0000 0.5000
0.5000 0.0000 0.0000
```

Entry 15:
This record from Alexandria describes NaNbB2 after structural relaxation. The functional is PBE-GGA.

Output
ΔE to the lowest computed polymorph   1.3 kJ/mol of formula units
Fermi-level density of states   0.11 states/eV/cell
Magnetic moment   0.0 μB per formula unit
Formation energy from the elements   96.23 kJ/mol of atoms

POSCAR file:
```
NaNbB2
1.0
-4.5537 -0.0484 4.2785
-3.2812 -3.9705 -3.5372
-2.5373 -4.4343 1.8122
Na Nb B
2 2 4
direct
0.5000 0.5000 0.0000
0.2500 0.7500 0.5000
0.0000 0.0000 0.0000
0.7500 0.2500 0.5000
0.6663 0.1250 0.2500
0.0837 0.6250 0.2500
0.3750 0.3337 0.7500
0.8750 0.9163 0.7500
```

Entry 16:
This record from Alexandria describes NaNb2BPd after structural relaxation. The functional is PBE-GGA.

Output
Fermi-level density of states   5.31 states/eV/cell
Magnetic moment   0.0 μB per formula unit
Formation energy from the elements   47.47 kJ/mol of atoms

POSCAR file:
```
NaNb2BPd
1.0
4.3410 0.0000 0.0000
0.0000 4.5741 0.0000
0.0000 0.0000 4.3410
Na Nb B Pd
1 2 1 1
direct
0.0000 0.5000 0.0000
0.0000 0.0000 0.5000
0.5000 0.0000 0.0000
0.0000 0.0000 0.0000
0.5000 0.5000 0.5000
```

Entry 17:
This record from Alexandria describes Na2ScNbB after structural relaxation. The functional is PBE-GGA.

Output
ΔE to the lowest computed polymorph   0.0 kJ/mol of formula units
Fermi-level density of states   4.69 states/eV/cell
Magnetic moment   0.8 μB per formula unit
Formation energy from the elements   85.65 kJ/mol of atoms

POSCAR file:
```
Na2ScNbB
1.0
4.7976 0.0000 0.0000
0.0000 4.5710 0.0000
0.0000 0.0000 4.7976
Sc Na Nb B
1 2 1 1
direct
0.5000 0.5000 0.5000
0.0000 0.0000 0.5000
0.5000 0.0000 0.0000
0.0000 0.5000 0.0000
0.0000 0.0000 0.0000
```

Entry 18:
This record from Alexandria describes Na2ScNbB after structural relaxation. The functional is PBE-GGA.

Output
ΔE to the lowest computed polymorph   226.0 kJ/mol of formula units
Fermi-level density of states   4.72 states/eV/cell
Magnetic moment   0.3 μB per formula unit
Formation energy from the elements   130.85 kJ/mol of atoms

POSCAR file:
```
Na2ScNbB
1.0
-1.2430 2.1248 4.9870
2.9074 -2.3521 1.7268
3.7385 4.0411 -0.7900
Sc Na Nb B
1 2 1 1
direct
0.5000 0.5000 0.5000
0.0000 0.0000 0.5000
0.5000 0.0000 0.0000
0.0000 0.0000 0.0000
0.0000 0.5000 0.0000
```

Entry 19:
This record from Alexandria describes NaNbTlB2 after structural relaxation. The functional is PBE-GGA.

Output
Fermi-level density of states   6.82 states/eV/cell
Magnetic moment   1.8 μB per formula unit
Formation energy from the elements   220.01 kJ/mol of atoms

POSCAR file:
```
NaNbTlB2
1.0
4.5420 0.0000 0.0000
0.0000 5.4657 0.0000
0.0000 0.0000 4.5420
Na Tl B Nb
1 1 2 1
direct
0.5000 0.5000 0.5000
0.0000 0.0000 0.0000
0.0000 0.0000 0.5000
0.5000 0.0000 0.0000
0.0000 0.5000 0.0000
```

Entry 20:
This record from Alexandria describes NaNbZn2B after structural relaxation. The functional is PBE-GGA.

Output
Fermi-level density of states   3.70 states/eV/cell
Magnetic moment   0.0 μB per formula unit
Formation energy from the elements   156.14 kJ/mol of atoms

POSCAR file:
```
NaNbZn2B
1.0
-1.4127 3.9720 -1.2685
1.0205 -0.9693 -4.1714
-3.9397 -1.5909 -0.5942
Na Nb B Zn
1 1 1 2
direct
0.0000 0.0000 0.0000
0.5000 0.5000 0.5000
0.0000 0.0000 0.5000
0.0000 0.5000 0.0000
0.5000 0.0000 0.0000
```